Density functional theory data (PBE) for a geometry-optimized RbVZn structure.

## Properties
The formation energy is 0.66 eV/atom. For the total magnetization, the calculation gives 0.00 μB per atom.

abc: 9.3043 3.0979 12.1467
angles: 90.00 90.00 90.00
Space group Pnma (No. 62)
Asymmetric unit:
Rb  0.0752  0.2500  0.1751
V  0.0694  0.2500  0.5425
Zn  0.2301  0.7500  0.4186

Density functional theory data (PBE) for a geometry-optimized RbVZn structure.

## Properties
The formation energy is 0.45 eV/atom. For the total magnetization, the calculation gives 0.00 μB per atom.

abc: 4.4799 4.4799 11.8197
angles: 88.69 88.84 60.03
Space group P1 (No. 1)
Asymmetric unit:
Rb  0.0000  0.0000  0.0000
Rb  0.3538  0.3629  0.3671
V  0.6762  0.6759  0.7632
V  0.6812  0.6831  0.6038
Zn  0.0125  0.0131  0.6738
Zn  0.3452  0.3455  0.6930

Density functional theory data (PBE) for a geometry-optimized RbVZn structure.

## Properties
The formation energy is 0.39 eV/atom. For the total magnetization, the calculation gives 0.00 μB per atom.

abc: 4.1971 4.1975 12.0495
angles: 88.65 88.90 61.13
Space group P-1 (No. 2)
Asymmetric unit:
Rb  0.1729  0.1809  0.1856
V  0.1563  0.1560  0.5009
Zn  0.4964  0.4939  0.6047

Density functional theory data (PBE) for a geometry-optimized RbVZn structure.

## Properties
The formation energy is 1.21 eV/atom. For the total magnetization, the calculation gives 1.38 μB per atom.

abc: 7.3915 7.3915 7.3915
angles: 90.00 90.00 90.00
Space group F-43m (No. 216)
Asymmetric unit:
Rb  0.0000  0.0000  0.0000
V  0.0000  0.0000  0.5000
Zn  0.2500  0.2500  0.2500

Density functional theory data (PBE) for a geometry-optimized RbVZn3 structure.

## Properties
The formation energy is 1.54 eV/atom. For the total magnetization, the calculation gives 0.87 μB per atom.

abc: 6.0973 6.0973 6.0973
angles: 90.00 90.00 90.00
Space group Pm-3m (No. 221)
Asymmetric unit:
Rb  0.0000  0.0000  0.0000
V  0.5000  0.5000  0.5000
Zn  0.0000  0.0000  0.5000

Density functional theory data (PBE) for a geometry-optimized RbVZn structure.

## Properties
The formation energy is 0.63 eV/atom. For the total magnetization, the calculation gives 0.27 μB per atom.

abc: 13.1851 4.7358 4.9931
angles: 90.00 90.00 90.00
Space group Pnma (No. 62)
Asymmetric unit:
Rb  0.2473  0.2500  0.2278
V  0.0000  0.2500  0.5022
Zn  0.0000  0.0000  0.0000

| no. | E above lowest polymorph (meV per atom) | total DFT energy (no corrections) (eV/cell) |
| --- | --- | --- |
| 1 | 274 | -37.54 |
| 2 | 61 | -20.05 |
| 3 | 1 | -20.41 |
| 4 | 829 | -30.88 |
| 5 | 1067 | -6.20 |
| 6 | 249 | -37.84 |